No. 1
The following is a DFT calculation (PBE) of an optimized crystal structure of CaSm2Sc.

Formation energy = 0.1443 eV/atom
M_tot = 0.00 μB per formula unit
Polymorph energy (0 for the lowest one) = 79 meV/atom
Crystal system = cubic
Theoretical density = 5.0 g/cm3

Lattice parameters (Å, degrees): 5.674 5.674 5.674 60.00 60.00 60.00
Sites, in units of the cell vectors:
Sm  0.250  0.250  0.250
Sm  0.750  0.750  0.750
Ca  0.000  0.000  0.000
Sc  0.500  0.500  0.500


No. 2
The following is a DFT calculation (PBE) of an optimized crystal structure of CaSm2Sc.

Formation energy = 0.0817 eV/atom
M_tot = 0.00 μB per formula unit
Polymorph energy (0 for the lowest one) = 16 meV/atom
Crystal system = trigonal
Theoretical density = 4.9 g/cm3

Lattice parameters (Å, degrees): 3.570 3.570 12.053 81.48 81.48 60.00
Sites, in units of the cell vectors:
Sm  0.258  0.258  0.225
Sm  0.075  0.075  0.774
Ca  0.500  0.500  0.500
Sc  0.667  0.667  0.000


no.,VASP energy (eV per atom)
1,-4.299
2,-4.361